Computed, not measured: an optimized crystal structure of CdBr at the PBE-GGA level of DFT.

Summary:
formation energy without anion corrections	-0.55	eV per formula unit
crystal system	orthorhombic
density of states at the Fermi level	0.95	states/eV per cell

a = 4.137 Å, b = 4.137 Å, c = 4.150 Å
α = 90.00°, β = 90.00°, γ = 118.31°
Fractional positions:
Cd 0.000 0.000 0.000
Br 0.500 0.500 0.500

Computed, not measured: an optimized crystal structure of SbTeS2 at the PBE-GGA level of DFT.

Summary:
formation energy without anion corrections	0.15	eV per formula unit
crystal system	trigonal
excess energy over the best structure of this formula in the dataset	0.0057	eV/atom
density of states at the Fermi level	1.92	states/eV per cell

a = 8.779 Å, b = 8.779 Å, c = 8.779 Å
α = 25.61°, β = 25.61°, γ = 25.61°
Fractional positions:
Sb 0.000 0.000 0.000
Te 0.500 0.500 0.500
S 0.397 0.397 0.397
S 0.603 0.603 0.603

Computed, not measured: an optimized crystal structure of Mg2IrBr at the PBE-GGA level of DFT.

Summary:
formation energy without anion corrections	0.98	eV per formula unit
crystal system	cubic
excess energy over the best structure of this formula in the dataset	0.7814	eV/atom
density of states at the Fermi level	0.77	states/eV per cell

a = 4.722 Å, b = 4.722 Å, c = 4.722 Å
α = 60.00°, β = 60.00°, γ = 60.00°
Fractional positions:
Mg 0.000 0.000 0.000
Mg 0.250 0.250 0.250
Ir 0.750 0.750 0.750
Br 0.500 0.500 0.500

Computed, not measured: an optimized crystal structure of FeNiSn2 at the PBE-GGA level of DFT.

Summary:
crystal system	tetragonal
formation enthalpy at 0 K	431	meV/atom
excess energy over the best structure of this formula in the dataset	0.2533	eV/atom
density of states at the Fermi level	6.50	states/eV per cell

a = 5.875 Å, b = 5.875 Å, c = 5.875 Å
α = 106.47°, β = 106.47°, γ = 115.66°
Fractional positions:
Fe 0.000 0.000 0.000
Fe 0.750 0.250 0.500
Ni 0.250 0.750 0.500
Ni 0.500 0.500 0.000
Sn 0.141 0.625 0.016
Sn 0.375 0.391 0.516
Sn 0.609 0.125 0.984
Sn 0.875 0.859 0.484

> What is the density of states at the Fermi level in the fourth record?

6.50 states/eV per cell